No. 1
VASP calculation (PBE-GGA) on an optimized crystal structure of BaSmPt2.

Properties
Energy relative to the elements in eV per atom: -0.923
Total magnetization in μB/atom: 0.000

Cell lengths 3.680, 3.680, 7.595 Å; angles 90.00, 90.00, 90.00 degrees
Space group P4/mmm (No. 123)
Inequivalent atoms, fractional coordinates:
Ba  0.000  0.000  0.000 x1
Sm  0.000  0.000  0.500 x1
Pt  0.500  0.500  0.297 x2

=====

No. 2
VASP calculation (PBE-GGA) on an optimized crystal structure of SrCr2P.

Properties
Energy relative to the elements in eV per atom: 0.723
Total magnetization in μB/atom: 1.975

Cell lengths 6.030, 10.336, 3.123 Å; angles 90.00, 121.15, 90.00 degrees
Space group C2/m (No. 12)
Inequivalent atoms, fractional coordinates:
Sr  0.000  0.000  0.000 x2
Cr  0.250  0.250  0.000 x4
P  0.000  0.500  0.000 x2

=====

No. 3
VASP calculation (PBE-GGA) on an optimized crystal structure of PmSn2Hg2.

Properties
Energy relative to the elements in eV per atom: -0.350
Total magnetization in μB/atom: 0.000

Cell lengths 4.634, 24.751, 4.483 Å; angles 90.00, 90.00, 90.00 degrees
Space group Cmcm (No. 63)
Inequivalent atoms, fractional coordinates:
Pm  0.000  0.146  0.250 x4
Sn  0.000  0.250  0.750 x4
Sn  0.000  0.359  0.250 x4
Hg  0.000  0.045  0.750 x4
Hg  0.000  0.452  0.750 x4

=====

No. 4
VASP calculation (PBE-GGA) on an optimized crystal structure of LiAg4.

Properties
Energy relative to the elements in eV per atom: 0.002
Total magnetization in μB/atom: 0.000

Cell lengths 5.489, 4.914, 6.821 Å; angles 90.00, 90.00, 90.00 degrees
Space group Pmna (No. 53)
Inequivalent atoms, fractional coordinates:
Li  0.000  0.000  0.000 x2
Ag  0.000  0.216  0.368 x4
Ag  0.250  0.307  0.750 x4

=====

No. 5
VASP calculation (PBE-GGA) on an optimized crystal structure of AcErSn.

Properties
Energy relative to the elements in eV per atom: -0.311
Total magnetization in μB/atom: 0.001

Cell lengths 7.603, 7.603, 7.603 Å; angles 90.00, 90.00, 90.00 degrees
Space group F-43m (No. 216)
Inequivalent atoms, fractional coordinates:
Ac  0.000  0.000  0.000 x4
Er  0.000  0.000  0.500 x4
Sn  0.250  0.250  0.250 x4

=====

No. 6
VASP calculation (PBE-GGA) on an optimized crystal structure of Ho2ZrZn.

Properties
Energy relative to the elements in eV per atom: 0.252
Total magnetization in μB/atom: 0.000

Cell lengths 3.2562, 3.2562, 33.5547 Å; angles 90.00, 90.00, 120.00 degrees
Space group R-3m (No. 166, hexagonal axes)
Inequivalent atoms, fractional coordinates:
Ho  0.0000  0.0000  0.0958 x6
Zr  0.0000  0.0000  0.0000 x3
Zn  0.0000  0.0000  0.5000 x3

=====

No. 7
VASP calculation (PBE-GGA) on an optimized crystal structure of KBi4Se6.

Properties
Formation energy (no corrections) in meV/atom: -495
Total magnetization in μB/atom: 0.000

Cell lengths 4.463, 13.972, 21.770 Å; angles 90.00, 90.00, 90.00 degrees
Space group Cmcm (No. 63)
Inequivalent atoms, fractional coordinates:
K  0.000  0.153  0.250 x4
Bi  0.000  0.095  0.635 x8
Bi  0.000  0.364  0.541 x8
Se  0.000  0.000  0.000 x4
Se  0.000  0.179  0.750 x4
Se  0.000  0.260  0.083 x8
Se  0.000  0.469  0.657 x8

=====

No. 8
VASP calculation (PBE-GGA) on an optimized crystal structure of SiSN2Cl.

Properties
Formation energy (no corrections) in meV/atom: 2277
Total magnetization in μB/atom: 0.199

Cell lengths 3.852, 3.852, 4.648 Å; angles 90.00, 90.00, 90.00 degrees
Space group P4/mmm (No. 123)
Inequivalent atoms, fractional coordinates:
Si  0.000  0.000  0.000 x1
S  0.500  0.500  0.000 x1
N  0.000  0.500  0.500 x2
Cl  0.500  0.500  0.500 x1

=====

No. 9
VASP calculation (PBE-GGA) on an optimized crystal structure of CaBeTe2O6.

Properties
Formation energy (no corrections) in meV/atom: -1832
Total magnetization in μB/atom: 0.000

Cell lengths 8.558, 14.310, 5.646 Å; angles 90.00, 102.82, 90.00 degrees
Space group C2/c (No. 15)
Inequivalent atoms, fractional coordinates:
Ca  0.000  0.164  0.250 x4
Be  0.000  0.235  0.750 x4
Te  0.198  0.397  0.115 x8
O  0.068  0.290  0.004 x8
O  0.137  0.167  0.666 x8
O  0.207  0.079  0.145 x8

=====

No. 10
VASP calculation (PBE-GGA) on an optimized crystal structure of Tb5Ge2O12.

Properties
Formation energy (no corrections) in meV/atom: -2896
Total magnetization in μB/atom: 0.052

Cell lengths 12.365, 5.805, 7.311 Å; angles 90.00, 107.19, 90.00 degrees
Space group C2/m (No. 12)
Inequivalent atoms, fractional coordinates:
Tb  0.000  0.000  0.000 x2
Tb  0.194  0.500  0.336 x4
Tb  0.194  0.500  0.857 x4
Ge  0.000  0.245  0.500 x4
O  0.000  0.000  0.322 x4
O  0.001  0.500  0.321 x4
O  0.153  0.249  0.076 x8
O  0.160  0.260  0.580 x8

=====

No. 11
VASP calculation (PBE-GGA) on an optimized crystal structure of MgZrOsRh2.

Properties
Energy relative to the elements in eV per atom: 1.272
Total magnetization in μB/atom: 0.000

Cell lengths 4.330, 4.330, 4.843 Å; angles 90.00, 90.00, 90.00 degrees
Space group P4/mmm (No. 123)
Inequivalent atoms, fractional coordinates:
Mg  0.000  0.000  0.000 x1
Zr  0.000  0.000  0.500 x1
Os  0.500  0.500  0.500 x1
Rh  0.000  0.500  0.000 x2

=====

| no. | volume (Å³/f.u.) |
| --- | --- |
| 1 | 102.9 |
| 2 | 83.3 |
| 3 | 128.6 |
| 4 | 92.0 |
| 5 | 109.9 |
| 6 | 102.7 |
| 7 | 339.4 |
| 8 | 69.0 |
| 9 | 168.5 |
| 10 | 250.7 |
| 11 | 90.8 |